Record 1
The following is a DFT calculation (PBE-GGA) of Nb2AgPd after structural relaxation.

Summary:
Crystal system: tetragonal

```
data_Nb2AgPd
_chemical_formula_sum 'Nb8 Ag4 Pd4'
_cell_length_a 7.490
_cell_length_b 7.490
_cell_length_c 5.335
_cell_angle_alpha 90.00
_cell_angle_beta 90.00
_cell_angle_gamma 90.00
_space_group_name_H-M_alt 'P 1'
_space_group_IT_number 1
loop_
_space_group_symop_operation_xyz
'x,y,z'
loop_
_atom_site_label
_atom_site_fract_x
_atom_site_fract_y
_atom_site_fract_z
_atom_site_occupancy
Nb1 0.226 0.250 0.125 1
Nb2 0.250 0.726 0.375 1
Nb3 0.250 0.774 0.875 1
Nb4 0.274 0.250 0.625 1
Nb5 0.726 0.750 0.625 1
Nb6 0.750 0.226 0.875 1
Nb7 0.750 0.274 0.375 1
Nb8 0.774 0.750 0.125 1
Ag1 0.000 0.000 0.500 1
Ag2 0.000 0.500 0.750 1
Ag3 0.500 0.000 0.250 1
Ag4 0.500 0.500 0.000 1
Pd1 0.000 0.000 0.000 1
Pd2 0.000 0.500 0.250 1
Pd3 0.500 0.000 0.750 1
Pd4 0.500 0.500 0.500 1
```

Record 2
The following is a DFT calculation (PBE-GGA) of NbAgPd after structural relaxation.

Summary:
Distance to the lowest polymorph of the same formula (meV per atom): 72.0
Crystal system: tetragonal

```
data_NbAgPd
_chemical_formula_sum 'Nb2 Ag2 Pd2'
_cell_length_a 2.859
_cell_length_b 2.859
_cell_length_c 12.463
_cell_angle_alpha 90.00
_cell_angle_beta 90.00
_cell_angle_gamma 90.00
_space_group_name_H-M_alt 'P 1'
_space_group_IT_number 1
loop_
_space_group_symop_operation_xyz
'x,y,z'
loop_
_atom_site_label
_atom_site_fract_x
_atom_site_fract_y
_atom_site_fract_z
_atom_site_occupancy
Nb1 0.000 0.000 0.000 1
Nb2 0.500 0.500 0.500 1
Ag1 0.000 0.000 0.323 1
Ag2 0.500 0.500 0.823 1
Pd1 0.000 0.000 0.655 1
Pd2 0.500 0.500 0.155 1
```

no.,energy (eV per cell),M_tot (μB per cell)
1,-105.80,0.00
2,-36.60,0.00